# PuBrO5 (PBE, relaxed)
# - total magnetization (μB/f.u.) = 0.2
# - space-group type = P2_1/c, No. 14
# - E_form (uncorrected) (kcal/mol of atoms) = -27.4
# - DOS(E_F) (states/eV/cell) = 11.4
data_PuBrO5
_space_group_name_H-M_alt 'P 1'
_space_group_IT_number 1
_space_group_name_Hall 'P 1'
_cell_length_a 6.9354
_cell_length_b 9.8616
_cell_length_c 11.8436
_cell_angle_alpha 90.00
_cell_angle_beta 90.00
_cell_angle_gamma 135.14
loop_
_atom_site_label
_atom_site_type_symbol
_atom_site_fract_x
_atom_site_fract_y
_atom_site_fract_z
O1 O 0.9503 0.5609 0.0783
O2 O 0.9184 0.7855 0.3006
O3 O 0.0306 0.7524 0.5816
O4 O 0.5306 0.2524 0.9184
O5 O 0.5816 0.7145 0.8006
O6 O 0.4694 0.7476 0.0816
O7 O 0.0816 0.2145 0.6994
O8 O 0.0497 0.4391 0.9217
O9 O 0.4332 0.7560 0.3871
O10 O 0.0962 0.4809 0.5819
O11 O 0.4184 0.2855 0.1994
O12 O 0.9038 0.5191 0.4181
O13 O 0.5668 0.2440 0.6129
O14 O 0.5497 0.9391 0.5783
O15 O 0.0668 0.7440 0.8871
O16 O 0.5962 0.9809 0.9181
O17 O 0.4503 0.0609 0.4217
O18 O 0.4038 0.0191 0.0819
O19 O 0.9694 0.2476 0.4184
O20 O 0.9332 0.2560 0.1129
Br1 Br 0.5223 0.5028 0.2378
Br2 Br 0.9777 0.9972 0.7378
Br3 Br 0.0223 0.0028 0.2622
Br4 Br 0.4777 0.4972 0.7622
Pu1 Pu 0.7322 0.2477 0.0107
Pu2 Pu 0.2678 0.7523 0.9893
Pu3 Pu 0.2322 0.7477 0.4893
Pu4 Pu 0.7678 0.2523 0.5107